(1)
This record from Alexandria describes an optimized crystal structure of ZrCo2As. The functional is PBE.

Output
The space group is F-43m. The formation energy is -0.08 eV/atom. The spin magnetization comes out at 2.2 μB/f.u.

abc: 4.372 4.372 4.372
angles: 60.00 60.00 60.00
Element x y z (fractional)
Co  0.000  0.000  0.000
Zr  0.750  0.750  0.750
As  0.500  0.500  0.500
Co  0.250  0.250  0.250

=====

(2)
This record from Alexandria describes an optimized crystal structure of LiAc2In4Pt3. The functional is PBE.

Output
The space group is P-4m2. The formation energy is -0.71 eV/atom. The spin magnetization comes out at 0.0 μB/f.u.

abc: 4.497 4.497 11.918
angles: 90.00 90.00 90.00
Element x y z (fractional)
In  0.000  0.000  0.000
In  0.000  0.500  0.373
In  0.500  0.500  0.000
Pt  0.500  0.000  0.857
Li  0.500  0.500  0.500
In  0.500  0.000  0.627
Ac  0.500  0.000  0.241
Ac  0.000  0.500  0.759
Pt  0.000  0.000  0.500
Pt  0.000  0.500  0.143

=====

(3)
This record from Alexandria describes an optimized crystal structure of CoH. The functional is PBE.

Output
The space group is Fm-3m. The spin magnetization comes out at 1.2 μB/f.u. As for the energy: -5.224 eV/atom.

abc: 2.616 2.616 2.616
angles: 60.00 60.00 60.00
Element x y z (fractional)
H  0.500  0.500  0.500
Co  0.000  0.000  0.000

=====

- Among the records above, which one has the highest spin magnetization?
  ZrCo2As

=====

- The highest spin magnetization belongs to which entry?
  ZrCo2As